[1]
This record from Alexandria via LeMat-Bulk describes SmMg5Cu2 after structural relaxation. The functional is PBE.

Results
Space group = Immm
Formation enthalpy at 0 K = -0.1004 eV/atom

Cell: 6.740 6.740 6.740 Å, 143.22 106.42 85.21°
Fractional coordinates of all 8 atoms:
Sm1 0.000 0.000 0.000
Mg1 0.154 0.341 0.813
Mg2 0.472 0.659 0.813
Mg3 0.500 0.000 0.500
Mg4 0.528 0.341 0.187
Mg5 0.846 0.659 0.187
Cu1 0.231 0.731 0.500
Cu2 0.769 0.269 0.500



[2]
This record from Alexandria via LeMat-Bulk describes K3SnSb2 after structural relaxation. The functional is PBE.

Results
Formation energy from raw total energies = -0.347 eV/atom
Space group = Pnma

Cell: 13.506 5.327 13.905 Å, 90.00 90.00 90.00°
Fractional coordinates of all 24 atoms:
K1 0.064 0.250 0.109
K2 0.132 0.750 0.566
K3 0.178 0.250 0.811
K4 0.322 0.750 0.311
K5 0.368 0.250 0.066
K6 0.436 0.750 0.609
K7 0.564 0.250 0.391
K8 0.632 0.750 0.934
K9 0.678 0.250 0.689
K10 0.822 0.750 0.189
K11 0.868 0.250 0.434
K12 0.936 0.750 0.891
Sn1 0.135 0.250 0.368
Sn2 0.365 0.750 0.868
Sn3 0.635 0.250 0.132
Sn4 0.865 0.750 0.632
Sb1 0.056 0.750 0.317
Sb2 0.197 0.750 0.985
Sb3 0.303 0.250 0.485
Sb4 0.444 0.250 0.817
Sb5 0.556 0.750 0.183
Sb6 0.697 0.750 0.515
Sb7 0.803 0.250 0.015
Sb8 0.944 0.250 0.683



[3]
This record from Alexandria via LeMat-Bulk describes NbZnAs2Br after structural relaxation. The functional is PBE.

Results
Formation energy from raw total energies = 0.208 eV/atom
Space group = P4/mmm
Relative energy among the computed polymorphs = 0 meV/atom

Cell: 5.010 5.010 5.336 Å, 90.00 90.00 90.00°
Fractional coordinates of all 5 atoms:
Nb1 0.000 0.000 0.000
Zn1 0.500 0.500 0.500
As1 0.000 0.500 0.000
As2 0.500 0.000 0.000
Br1 0.000 0.000 0.500



[4]
This record from Alexandria via LeMat-Bulk describes Pr2GaHg2 after structural relaxation. The functional is PBE.

Results
Space group = C2/m
Formation enthalpy at 0 K = -0.3300 eV/atom
Relative energy among the computed polymorphs = 143 meV/atom

Cell: 5.702 5.702 6.296 Å, 93.58 93.58 45.48°
Fractional coordinates of all 5 atoms:
Pr1 0.195 0.195 0.217
Pr2 0.805 0.805 0.783
Ga1 0.500 0.500 0.000
Hg1 0.094 0.094 0.692
Hg2 0.906 0.906 0.308



[5]
This record from Alexandria via LeMat-Bulk describes TaNbCuW after structural relaxation. The functional is PBE.

Results
Space group = F-43m
Formation enthalpy at 0 K = 0.1227 eV/atom

Cell: 4.534 4.534 4.534 Å, 60.00 60.00 60.00°
Fractional coordinates of all 4 atoms:
Ta1 0.000 0.000 0.000
Nb1 0.500 0.500 0.500
Cu1 0.750 0.750 0.750
W1 0.250 0.250 0.250



[6]
This record from Alexandria via LeMat-Bulk describes MoAsPbCl2 after structural relaxation. The functional is PBE.

Results
Formation energy from raw total energies = 0.521 eV/atom
Space group = P4/mmm

Cell: 5.086 5.086 5.181 Å, 90.00 90.00 90.00°
Fractional coordinates of all 5 atoms:
Mo1 0.000 0.000 0.000
As1 0.000 0.000 0.500
Pb1 0.500 0.500 0.000
Cl1 0.000 0.500 0.500
Cl2 0.500 0.000 0.500



[7]
This record from Alexandria via LeMat-Bulk describes CoHSBr after structural relaxation. The functional is PBE.

Results
Space group = Cm
Relative energy among the computed polymorphs = 0 meV/atom

Cell: 3.534 3.534 6.174 Å, 90.30 90.30 60.14°
Fractional coordinates of all 4 atoms:
Co1 0.000 0.000 0.000
H1 0.670 0.670 0.374
S1 0.668 0.668 0.151
Br1 0.331 0.331 0.740



[8]
This record from Alexandria via LeMat-Bulk describes LaPr3Tm after structural relaxation. The functional is PBE.

Results
Space group = Ama2
Formation enthalpy at 0 K = 0.1941 eV/atom
Relative energy among the computed polymorphs = 21 meV/atom

Cell: 10.621 5.996 5.996 Å, 108.75 90.00 90.00°
Fractional coordinates of all 10 atoms:
La1 0.250 0.189 0.811
La2 0.750 0.811 0.189
Pr1 0.064 0.662 0.963
Pr2 0.250 0.646 0.451
Pr3 0.436 0.662 0.963
Pr4 0.564 0.963 0.662
Pr5 0.750 0.451 0.646
Pr6 0.936 0.963 0.662
Tm1 0.000 0.277 0.277
Tm2 0.500 0.277 0.277



[9]
This record from Alexandria via LeMat-Bulk describes Ho4TlPb after structural relaxation. The functional is PBE.

Results
Space group = C2/c
Formation enthalpy at 0 K = -0.2311 eV/atom

Cell: 8.285 8.285 6.350 Å, 104.11 104.11 113.48°
Fractional coordinates of all 12 atoms:
Ho1 0.077 0.700 0.924
Ho2 0.219 0.383 0.683
Ho3 0.300 0.923 0.576
Ho4 0.383 0.219 0.183
Ho5 0.617 0.781 0.817
Ho6 0.700 0.077 0.424
Ho7 0.781 0.617 0.317
Ho8 0.923 0.300 0.076
Tl1 0.001 0.999 0.250
Tl2 0.999 0.001 0.750
Pb1 0.379 0.621 0.250
Pb2 0.621 0.379 0.750



[10]
This record from Alexandria via LeMat-Bulk describes ZnFe2Au after structural relaxation. The functional is PBE.

Results
Space group = F-43m
Formation enthalpy at 0 K = 0.0915 eV/atom

Cell: 4.284 4.284 4.284 Å, 60.00 60.00 60.00°
Fractional coordinates of all 4 atoms:
Zn1 0.000 0.000 0.000
Fe1 0.250 0.250 0.250
Fe2 0.500 0.500 0.500
Au1 0.750 0.750 0.750



[11]
This record from Alexandria via LeMat-Bulk describes NbNi5B3 after structural relaxation. The functional is PBE.

Results
Space group = Cmcm
Formation enthalpy at 0 K = -0.1528 eV/atom

Cell: 5.520 5.520 10.319 Å, 90.00 90.00 144.22°
Fractional coordinates of all 18 atoms:
Nb1 0.125 0.875 0.750
Nb2 0.875 0.125 0.250
Ni1 0.000 0.000 0.000
Ni2 0.000 0.000 0.500
Ni3 0.218 0.782 0.078
Ni4 0.218 0.782 0.422
Ni5 0.428 0.572 0.641
Ni6 0.428 0.572 0.859
Ni7 0.572 0.428 0.141
Ni8 0.572 0.428 0.359
Ni9 0.782 0.218 0.578
Ni10 0.782 0.218 0.922
B1 0.124 0.876 0.250
B2 0.399 0.601 0.060
B3 0.399 0.601 0.440
B4 0.601 0.399 0.560
B5 0.601 0.399 0.940
B6 0.876 0.124 0.750



[12]
This record from Alexandria via LeMat-Bulk describes SiHgTe2Ir after structural relaxation. The functional is PBE.

Results
Formation energy from raw total energies = 1.566 eV/atom
Space group = P4/mmm

Cell: 5.502 5.502 5.056 Å, 90.00 90.00 90.00°
Fractional coordinates of all 5 atoms:
Si1 0.000 0.000 0.000
Hg1 0.500 0.500 0.500
Te1 0.000 0.500 0.500
Te2 0.500 0.000 0.500
Ir1 0.500 0.500 0.000



[13]
This record from Alexandria via LeMat-Bulk describes BaCd3Re after structural relaxation. The functional is PBE.

Results
Space group = Pm-3m
Formation enthalpy at 0 K = 1.8951 eV/atom
Relative energy among the computed polymorphs = 1510 meV/atom

Cell: 6.469 6.469 6.469 Å, 90.00 90.00 90.00°
Fractional coordinates of all 5 atoms:
Ba1 0.000 0.000 0.000
Cd1 0.000 0.000 0.500
Cd2 0.000 0.500 0.000
Cd3 0.500 0.000 0.000
Re1 0.500 0.500 0.500



[14]
This record from Alexandria via LeMat-Bulk describes ZrTi5N4 after structural relaxation. The functional is PBE.

Results
Formation energy from raw total energies = -1.416 eV/atom
Space group = C2/m

Cell: 6.735 6.735 6.212 Å, 104.84 104.84 26.41°
Fractional coordinates of all 10 atoms:
Zr1 0.000 0.000 0.000
Ti1 0.000 0.000 0.500
Ti2 0.326 0.326 0.678
Ti3 0.335 0.335 0.148
Ti4 0.665 0.665 0.852
Ti5 0.674 0.674 0.322
N1 0.175 0.175 0.092
N2 0.493 0.493 0.729
N3 0.507 0.507 0.271
N4 0.825 0.825 0.908



[15]
This record from Alexandria via LeMat-Bulk describes Pm5Pr3As8 after structural relaxation. The functional is PBE.

Results
Space group = R-3m
Formation enthalpy at 0 K = -1.5160 eV/atom

Cell: 8.531 8.531 8.531 Å, 59.99 59.99 59.99°
Fractional coordinates of all 16 atoms:
Pm1 0.000 0.000 0.000
Pm2 0.000 0.500 0.500
Pm3 0.500 0.000 0.500
Pm4 0.500 0.500 0.000
Pm5 0.500 0.500 0.500
Pr1 0.000 0.000 0.500
Pr2 0.000 0.500 0.000
Pr3 0.500 0.000 0.000
As1 0.250 0.250 0.747
As2 0.250 0.747 0.250
As3 0.251 0.251 0.251
As4 0.253 0.750 0.750
As5 0.747 0.250 0.250
As6 0.749 0.749 0.749
As7 0.750 0.253 0.750
As8 0.750 0.750 0.253



[16]
This record from Alexandria via LeMat-Bulk describes W2C after structural relaxation. The functional is PBE.

Results
Space group = Fd-3m
Formation enthalpy at 0 K = 2.7030 eV/atom

Cell: 5.161 5.161 5.161 Å, 60.00 60.00 60.00°
Fractional coordinates of all 6 atoms:
W1 0.000 0.000 0.000
W2 0.000 0.000 0.500
W3 0.000 0.500 0.000
W4 0.500 0.000 0.000
C1 0.375 0.375 0.375
C2 0.625 0.625 0.625



[17]
This record from Alexandria via LeMat-Bulk describes Ho2Zn5Cu2Rh after structural relaxation. The functional is PBE.

Results
Space group = P4/mbm
Formation enthalpy at 0 K = -0.2838 eV/atom

Cell: 9.162 9.162 4.019 Å, 90.00 90.00 90.00°
Fractional coordinates of all 20 atoms:
Ho1 0.185 0.315 0.000
Ho2 0.315 0.815 0.000
Ho3 0.685 0.185 0.000
Ho4 0.815 0.685 0.000
Zn1 0.000 0.500 0.500
Zn2 0.048 0.800 0.500
Zn3 0.200 0.048 0.500
Zn4 0.300 0.548 0.500
Zn5 0.452 0.300 0.500
Zn6 0.500 0.000 0.500
Zn7 0.548 0.700 0.500
Zn8 0.700 0.452 0.500
Zn9 0.800 0.952 0.500
Zn10 0.952 0.200 0.500
Cu1 0.110 0.610 0.000
Cu2 0.390 0.110 0.000
Cu3 0.610 0.890 0.000
Cu4 0.890 0.390 0.000
Rh1 0.000 0.000 0.000
Rh2 0.500 0.500 0.000



[18]
This record from Alexandria via LeMat-Bulk describes Cd2CuPd after structural relaxation. The functional is PBE.

Results
Space group = P4/mmm
Formation enthalpy at 0 K = -0.1696 eV/atom

Cell: 4.574 4.574 3.279 Å, 90.00 90.00 90.00°
Fractional coordinates of all 4 atoms:
Cd1 0.000 0.500 0.000
Cd2 0.500 0.000 0.000
Cu1 0.000 0.000 0.500
Pd1 0.500 0.500 0.500



[19]
This record from Alexandria via LeMat-Bulk describes ZnGe2Pd2 after structural relaxation. The functional is PBE.

Results
Space group = P4/mbm
Formation enthalpy at 0 K = -0.1543 eV/atom

Cell: 7.564 7.564 2.939 Å, 90.00 90.00 90.00°
Fractional coordinates of all 10 atoms:
Zn1 0.000 0.000 0.000
Zn2 0.500 0.500 0.000
Ge1 0.155 0.345 0.000
Ge2 0.345 0.845 0.000
Ge3 0.655 0.155 0.000
Ge4 0.845 0.655 0.000
Pd1 0.139 0.639 0.500
Pd2 0.361 0.139 0.500
Pd3 0.639 0.861 0.500
Pd4 0.861 0.361 0.500



[20]
This record from Alexandria via LeMat-Bulk describes Sm3Er12Sc after structural relaxation. The functional is PBE.

Results
Space group = P4/mmm
Formation enthalpy at 0 K = 0.0284 eV/atom

Cell: 4.973 4.973 19.869 Å, 90.00 90.00 90.00°
Fractional coordinates of all 16 atoms:
Sm1 0.000 0.000 0.000
Sm2 0.000 0.000 0.252
Sm3 0.000 0.000 0.748
Er1 0.000 0.500 0.127
Er2 0.000 0.500 0.380
Er3 0.000 0.500 0.620
Er4 0.000 0.500 0.873
Er5 0.500 0.000 0.127
Er6 0.500 0.000 0.380
Er7 0.500 0.000 0.620
Er8 0.500 0.000 0.873
Er9 0.500 0.500 0.000
Er10 0.500 0.500 0.253
Er11 0.500 0.500 0.500
Er12 0.500 0.500 0.747
Sc1 0.000 0.000 0.500



[21]
This record from Alexandria via LeMat-Bulk describes Na14LiCa after structural relaxation. The functional is PBE.

Results
Space group = Amm2
Formation enthalpy at 0 K = 0.0320 eV/atom

Cell: 12.171 7.468 7.468 Å, 58.56 90.00 90.00°
Fractional coordinates of all 16 atoms:
Na1 0.000 0.000 0.000
Na2 0.000 0.000 0.496
Na3 0.000 0.495 0.495
Na4 0.000 0.496 0.000
Na5 0.243 0.840 0.840
Na6 0.251 0.335 0.841
Na7 0.251 0.841 0.335
Na8 0.266 0.332 0.332
Na9 0.500 0.178 0.685
Na10 0.500 0.685 0.178
Na11 0.734 0.332 0.332
Na12 0.749 0.335 0.841
Na13 0.749 0.841 0.335
Na14 0.757 0.840 0.840
Li1 0.500 0.174 0.174
Ca1 0.500 0.682 0.682



[22]
This record from Alexandria via LeMat-Bulk describes YAl2Os after structural relaxation. The functional is PBE.

Results
Space group = Pmmm
Formation enthalpy at 0 K = -0.1792 eV/atom

Cell: 4.036 4.055 4.392 Å, 90.00 90.00 90.00°
Fractional coordinates of all 4 atoms:
Y1 0.000 0.000 0.000
Al1 0.000 0.500 0.500
Al2 0.500 0.000 0.500
Os1 0.500 0.500 0.000



[23]
This record from Alexandria via LeMat-Bulk describes TlGeAu after structural relaxation. The functional is PBE.

Results
Space group = Pm
Formation enthalpy at 0 K = 0.0240 eV/atom

Cell: 4.593 4.385 7.230 Å, 90.00 94.19 90.00°
Fractional coordinates of all 6 atoms:
Tl1 0.000 0.000 0.000
Tl2 0.473 0.500 0.231
Ge1 0.041 0.500 0.576
Ge2 0.623 0.500 0.793
Au1 0.377 0.000 0.665
Au2 0.842 0.000 0.398